Below is Li2Ho2ScTl2 after structural relaxation, with properties calculated at the PBE level.

```
7
Lattice="2.368 1.367 8.739 -2.368 1.367 8.739 0.000 -2.734 8.739" Properties=species:S:1:pos:R:3 pbc="T T T"
Li 0.000 0.000 3.007
Li 0.000 0.000 23.209
Ho 0.000 0.000 9.828
Ho 0.000 0.000 16.388
Sc 0.000 0.000 13.108
Tl 0.000 0.000 6.141
Tl 0.000 0.000 20.075
```

DOS(E_F): 4.84 states/eV/f.u.
Energy relative to the elements: -0.150 eV/atom
Symmetry: R-3m, No. 166
Crystal system: trigonal